The following is a PBEsol calculation of DyHSe after structural relaxation, from the Alexandria database.

Cell lengths 3.7808, 3.7808, 3.8372 Å; angles 90.00, 90.00, 120.00 degrees
Fractional positions:
H1 0.3333 0.6667 0.0000
Se1 0.6667 0.3333 0.5000
Dy1 0.0000 0.0000 0.0000

Values from the calculation:
Raw total energy   -16.7 eV/cell
Mass density   8.48 Mg/m³
Spin magnetization   0.00 μB/f.u.